Record 1
Material: TlCo2B
Method: DFT, PBE
State: optimized geometry Values from VASP.

Quantum ESPRESSO input file:
```
&SYSTEM
  ibrav = 0, nat = 8, ntyp = 3
/
ATOMIC_SPECIES
Tl 204.38 Tl.upf
Co 58.93 Co.upf
B 10.81 B.upf
CELL_PARAMETERS angstrom
-2.253 2.253 6.345
2.253 -2.253 6.345
2.253 2.253 -6.345
ATOMIC_POSITIONS angstrom
Tl 0.000 0.000 0.000
Tl 0.000 2.253 3.172
Co 1.127 -0.035 4.759
Co 2.218 1.127 1.586
Co 1.127 2.288 -1.586
Co 0.035 1.127 7.931
B 2.253 0.000 3.172
B 0.000 0.000 6.345
```

## Properties
Total magnetization, μB/cell: 3.9
Energy above the most stable polymorph in this dataset, meV per atom: 0
Volume, A^3/atom: 16.11
Energy, eV per atom: -5.19
DFT formation energy, eV per atom: 0.622
Density, g cm⁻³: 8.584


Record 2
Material: ZnSnMo2As
Method: DFT, PBE
State: optimized geometry Values from VASP.

Quantum ESPRESSO input file:
```
&SYSTEM
  ibrav = 0, nat = 5, ntyp = 4
/
ATOMIC_SPECIES
Zn 65.41 Zn.upf
Sn 118.71 Sn.upf
Mo 95.94 Mo.upf
As 74.92 As.upf
CELL_PARAMETERS angstrom
5.194 0.000 0.000
0.000 5.194 0.000
0.000 0.000 5.130
ATOMIC_POSITIONS angstrom
Zn 0.000 0.000 0.000
Sn 2.597 2.597 2.565
Mo 0.000 2.597 2.565
Mo 2.597 0.000 2.565
As 2.597 2.597 0.000
```

## Properties
Total magnetization, μB/cell: 5.5
Energy above the most stable polymorph in this dataset, meV per atom: 401
Volume, A^3/atom: 27.68
Energy, eV per atom: -4.42
DFT formation energy, eV per atom: 1.893
Density, g cm⁻³: 5.410


Record 3
Material: UGa2Au
Method: DFT, PBE
State: optimized geometry Values from VASP.

Quantum ESPRESSO input file:
```
&SYSTEM
  ibrav = 0, nat = 4, ntyp = 3
/
ATOMIC_SPECIES
U 238.03 U.upf
Ga 69.72 Ga.upf
Au 196.97 Au.upf
CELL_PARAMETERS angstrom
0.000 3.410 3.410
3.410 0.000 3.410
3.410 3.410 0.000
ATOMIC_POSITIONS angstrom
U 0.000 0.000 0.000
Ga 1.705 1.705 1.705
Ga 5.116 5.116 5.116
Au 3.410 3.410 3.410
```

## Properties
Total magnetization, μB/cell: 3.0
Volume, A^3/atom: 19.83
Energy, eV per atom: -5.21
DFT formation energy, eV per atom: -0.056
Density, g cm⁻³: 12.024


Record 4
Material: CeEr2Ru
Method: DFT, PBE
State: optimized geometry Values from VASP.

Quantum ESPRESSO input file:
```
&SYSTEM
  ibrav = 0, nat = 4, ntyp = 3
/
ATOMIC_SPECIES
Ce 140.12 Ce.upf
Er 167.26 Er.upf
Ru 101.07 Ru.upf
CELL_PARAMETERS angstrom
2.533 1.463 4.102
-2.533 1.463 4.102
0.000 -2.925 4.102
ATOMIC_POSITIONS angstrom
Ce 0.000 0.000 0.000
Er 0.000 0.000 3.086
Er 0.000 0.000 9.219
Ru 0.000 0.000 6.153
```

## Properties
Total magnetization, μB/cell: 0.1
Energy above the most stable polymorph in this dataset, meV per atom: 393
Volume, A^3/atom: 22.80
Energy, eV per atom: -6.03
DFT formation energy, eV per atom: 0.055
Density, g cm⁻³: 10.484